DFT (PBE) results for a relaxed Li4PH crystal.

Cell: 4.2394 4.2470 5.2044 Å, 78.99 79.68 85.32°
Fractional positions:
Li  0.0528  0.1122  0.2510
Li  0.3962  0.4405  0.7518
Li  0.6038  0.5595  0.2482
Li  0.9472  0.8878  0.7490
P  0.5000  0.0000  0.5000
H  0.0000  0.5000  0.0000

Values from the calculation:
Space-group type = P-1, No. 2
Offset from the most stable computed form = 0.0000 eV/atom
Theoretical density = 1.10 Mg/m³



DFT (PBE) results for a relaxed LiPH3 crystal.

Cell: 3.6917 3.8723 7.2849 Å, 93.24 90.11 90.04°
Fractional positions:
Li  0.0000  0.0000  0.0000
Li  0.4988  0.4970  0.8083
P  0.1094  0.9958  0.6718
P  0.6112  0.4997  0.1369
H  0.3229  0.7189  0.5747
H  0.3542  0.2374  0.5761
H  0.3556  0.4775  0.2863
H  0.8256  0.7765  0.2341
H  0.8528  0.0178  0.5224
H  0.8562  0.2580  0.2326

Values from the calculation:
Space-group type = P1, No. 1
Offset from the most stable computed form = 0.0000 eV/atom
Fermi-level density of states = 2.54 states/eV per cell
Theoretical density = 1.31 Mg/m³



DFT (PBE) results for a relaxed LiPH crystal.

Cell: 4.2143 4.3621 5.5101 Å, 68.41 88.42 63.20°
Fractional positions:
Li  0.0000  0.0000  0.0000
Li  0.4016  0.4316  0.5590
P  0.5107  0.9771  0.2876
P  0.8030  0.7423  0.6916
H  0.2123  0.3285  0.2759
H  0.5960  0.5836  0.8593

Values from the calculation:
Space-group type = P1, No. 1
Offset from the most stable computed form = 0.0229 eV/atom
Fermi-level density of states = 0.00 states/eV per cell
Theoretical density = 1.56 Mg/m³



DFT (PBE) results for a relaxed Li6P2H crystal.

Cell: 5.3965 5.3965 5.3965 Å, 118.88 118.88 91.96°
Fractional positions:
Li  0.2395  0.2395  0.4790
Li  0.2395  0.7605  0.0000
Li  0.2438  0.2438  0.0000
Li  0.7562  0.7562  0.0000
Li  0.7605  0.2395  0.0000
Li  0.7605  0.7605  0.5210
P  0.2500  0.7500  0.5000
P  0.7500  0.2500  0.5000
H  0.0000  0.0000  0.0000

Values from the calculation:
Electronic total energy = -30.03 eV/cell
Space-group type = I4/mmm, No. 139
Fermi-level density of states = 1.52 states/eV per cell
Theoretical density = 1.54 Mg/m³



DFT (PBE) results for a relaxed LiPH2 crystal.

Cell: 3.5939 3.5939 3.5939 Å, 60.00 60.00 60.00°
Fractional positions:
Li  0.0000  0.0000  0.0000
P  0.5000  0.5000  0.5000
H  0.2500  0.2500  0.2500
H  0.7500  0.7500  0.7500

Values from the calculation:
Space-group type = Fm-3m, No. 225
Offset from the most stable computed form = 0.3337 eV/atom
Fermi-level density of states = 0.83 states/eV per cell
Theoretical density = 2.02 Mg/m³



DFT (PBE) results for a relaxed Li2PH6 crystal.

Cell: 4.6975 4.6975 4.6975 Å, 60.00 60.00 60.00°
Fractional positions:
Li  0.2500  0.2500  0.2500
Li  0.7500  0.7500  0.7500
P  0.0000  0.0000  0.0000
H  0.2388  0.2388  0.7612
H  0.2388  0.7612  0.2388
H  0.2388  0.7612  0.7612
H  0.7612  0.2388  0.2388
H  0.7612  0.2388  0.7612
H  0.7612  0.7612  0.2388

Values from the calculation:
Electronic total energy = -28.30 eV/cell
Space-group type = Fm-3m, No. 225
Fermi-level density of states = 2.32 states/eV per cell
Theoretical density = 1.15 Mg/m³



- Among the records above, which one has the lowest theoretical density?
  Li4PH



- Which value of theoretical density does entry 2 give?
  1.31 Mg/m³



- The highest theoretical density belongs to which entry?
  LiPH2



- Which of these has the lowest theoretical density?
  Li4PH